This record from OQMD via LeMat-Bulk describes a relaxed Zr5Pt3 crystal. The functional is PBE.

Structure (extended XYZ):
```
48
Lattice="14.336 0.000 0.000 -7.168 12.415 0.000 0.000 0.000 5.398" Properties=species:S:1:pos:R:3 pbc="T T T"
Zr -2.373 4.147 0.000
Zr -4.763 8.287 0.000
Zr 0.000 2.032 1.361
Zr -5.408 11.399 1.361
Zr 1.760 1.016 4.060
Zr -1.760 7.261 1.354
Zr 0.000 6.245 4.050
Zr -1.759 9.293 4.050
Zr 2.373 4.147 0.000
Zr -2.390 12.397 0.000
Zr 4.778 0.018 2.699
Zr 2.405 4.129 2.699
Zr 1.760 7.261 1.354
Zr 0.000 10.309 1.354
Zr 1.759 9.293 4.050
Zr 5.409 3.123 1.351
Zr 7.168 2.106 4.053
Zr 5.408 5.155 4.053
Zr 4.763 8.287 0.000
Zr 2.390 12.397 0.000
Zr 9.558 0.018 2.699
Zr 4.795 8.268 2.699
Zr 8.927 3.123 1.351
Zr 7.168 6.170 1.351
Zr 8.928 5.155 4.053
Zr 5.408 11.399 1.361
Zr 12.576 1.016 4.060
Zr 7.168 10.383 4.060
Zr 11.931 4.129 2.699
Zr 9.541 8.268 2.699
Pt -2.838 6.638 4.051
Pt 0.000 3.278 4.017
Pt -4.329 10.776 4.017
Pt 0.000 5.001 1.377
Pt -2.837 9.915 1.377
Pt 2.839 1.639 1.318
Pt 4.331 2.500 4.077
Pt 2.838 6.638 4.051
Pt 0.000 11.554 4.051
Pt 7.168 0.861 1.352
Pt 4.330 5.777 1.352
Pt 2.837 9.915 1.377
Pt 4.329 10.776 4.017
Pt 10.005 2.500 4.077
Pt 7.168 7.415 4.077
Pt 11.497 1.639 1.318
Pt 7.168 9.137 1.318
Pt 10.006 5.777 1.352
```

Summary:
crystal system = hexagonal
VASP energy = -404.62 eV for the cell shown
formation enthalpy at 0 K = -630.5 kJ/mol of formula units



This record from OQMD via LeMat-Bulk describes a relaxed Zr9Pt11 crystal. The functional is PBE.

Structure (extended XYZ):
```
20
Lattice="-5.212 5.212 3.429 5.212 -5.212 3.429 5.212 5.212 -3.429" Properties=species:S:1:pos:R:3 pbc="T T T"
Zr 0.000 0.000 0.000
Zr 3.214 0.999 0.000
Zr 6.075 2.568 0.000
Zr 4.213 -1.999 3.429
Zr 2.568 4.350 0.000
Zr 2.645 0.863 3.429
Zr 0.999 7.211 0.000
Zr -0.863 2.645 3.429
Zr 1.999 4.213 3.429
Pt 6.397 -2.852 1.993
Pt 2.361 -1.185 1.436
Pt 5.212 0.000 1.714
Pt 8.064 1.185 1.436
Pt 1.185 2.361 1.436
Pt 0.000 0.000 3.429
Pt 4.028 2.852 1.993
Pt -2.852 4.028 1.993
Pt 0.000 5.212 1.714
Pt 2.852 6.397 1.993
Pt -1.185 8.064 1.436
```

Summary:
crystal system = tetragonal
VASP energy = -163.56 eV for the cell shown
formation enthalpy at 0 K = -1932.0 kJ/mol of formula units



This record from OQMD via LeMat-Bulk describes a relaxed Zr5Pt crystal. The functional is PBE.

Structure (extended XYZ):
```
6
Lattice="5.328 0.000 0.000 -2.664 4.614 0.000 0.000 0.000 5.184" Properties=species:S:1:pos:R:3 pbc="T T T"
Zr -0.844 1.462 0.000
Zr 1.689 0.000 0.000
Zr 0.000 3.076 2.592
Zr 2.664 1.538 2.592
Zr 1.820 3.152 0.000
Pt 0.000 0.000 2.592
```

Summary:
crystal system = hexagonal
VASP energy = -49.96 eV for the cell shown
formation enthalpy at 0 K = -112.7 kJ/mol of formula units



This record from OQMD via LeMat-Bulk describes a relaxed RbPu crystal. The functional is PBE.

Structure (extended XYZ):
```
8
Lattice="7.781 0.000 0.000 0.000 7.781 0.000 0.000 0.000 7.781" Properties=species:S:1:pos:R:3 pbc="T T T"
Rb 0.000 0.000 0.000
Rb 0.000 3.890 3.890
Rb 3.890 0.000 3.890
Rb 3.890 3.890 0.000
Pu 0.000 0.000 3.890
Pu 0.000 3.890 0.000
Pu 3.890 0.000 0.000
Pu 3.890 3.890 3.890
```

Summary:
crystal system = cubic
VASP energy = -49.86 eV for the cell shown



This record from OQMD via LeMat-Bulk describes a relaxed RbPu crystal. The functional is PBE.

Structure (extended XYZ):
```
2
Lattice="3.691 0.000 0.000 -1.845 3.196 0.000 0.000 0.000 7.453" Properties=species:S:1:pos:R:3 pbc="T T T"
Rb 0.000 0.000 0.000
Pu 0.000 2.131 3.726
```

Summary:
crystal system = hexagonal
VASP energy = -13.62 eV for the cell shown



This record from OQMD via LeMat-Bulk describes a relaxed RbPu crystal. The functional is PBE.

Structure (extended XYZ):
```
8
Lattice="8.799 0.000 0.000 0.000 8.799 0.000 0.000 0.000 8.799" Properties=species:S:1:pos:R:3 pbc="T T T"
Rb 0.000 0.000 0.000
Rb 0.000 4.400 4.400
Rb 4.400 0.000 4.400
Rb 4.400 4.400 0.000
Pu 2.200 2.200 2.200
Pu 2.200 6.599 6.599
Pu 6.599 2.200 6.599
Pu 6.599 6.599 2.200
```

Summary:
crystal system = cubic
VASP energy = -46.86 eV for the cell shown



This record from OQMD via LeMat-Bulk describes a relaxed Rb2PuS3 crystal. The functional is PBE.

Structure (extended XYZ):
```
12
Lattice="6.311 -4.435 0.000 6.311 4.435 0.000 0.000 0.000 7.285" Properties=species:S:1:pos:R:3 pbc="T T T"
Rb 2.029 1.417 1.821
Rb 2.029 -1.417 5.464
Rb 10.592 1.417 1.821
Rb 10.592 -1.417 5.464
Pu 6.311 0.745 1.821
Pu 6.311 -0.745 5.464
S 6.311 3.249 1.821
S 4.540 0.000 0.000
S 4.540 0.000 3.642
S 8.081 0.000 0.000
S 8.081 0.000 3.642
S 6.311 -3.249 5.464
```

Summary:
crystal system = orthorhombic
VASP energy = -72.78 eV for the cell shown
distance to the lowest polymorph of the same formula = 1 meV per atom



This record from OQMD via LeMat-Bulk describes a relaxed Rb2PuS3 crystal. The functional is PBE.

Structure (extended XYZ):
```
12
Lattice="6.323 -4.437 0.000 6.323 4.437 0.000 -0.192 0.000 7.277" Properties=species:S:1:pos:R:3 pbc="T T T"
Rb 1.987 1.408 1.733
Rb 1.891 -1.408 5.372
Rb 10.562 1.408 1.905
Rb 10.466 -1.408 5.543
Pu 6.275 0.754 1.819
Pu 6.178 -0.754 5.458
S 6.275 3.258 1.819
S 4.456 0.056 3.623
S 4.360 -0.056 7.261
S 8.093 0.056 0.016
S 7.997 -0.056 3.654
S 6.178 -3.258 5.458
```

Summary:
crystal system = monoclinic
VASP energy = -72.78 eV for the cell shown
distance to the lowest polymorph of the same formula = 1 meV per atom



This record from OQMD via LeMat-Bulk describes a relaxed Rb2PuS3 crystal. The functional is PBE.

Structure (extended XYZ):
```
12
Lattice="6.341 -4.431 0.000 6.341 4.431 0.000 0.000 0.000 7.298" Properties=species:S:1:pos:R:3 pbc="T T T"
Rb 2.046 1.411 0.000
Rb 2.046 -1.411 3.649
Rb 10.636 1.411 0.000
Rb 10.636 -1.411 3.649
Pu 6.341 0.755 7.290
Pu 6.341 -0.755 3.641
S 6.341 3.259 7.267
S 4.577 0.007 1.821
S 4.577 -0.007 5.469
S 8.105 0.007 1.821
S 8.105 -0.007 5.469
S 6.341 -3.259 3.618
```

Summary:
crystal system = orthorhombic
VASP energy = -72.79 eV for the cell shown
distance to the lowest polymorph of the same formula = 0 meV per atom



This record from OQMD via LeMat-Bulk describes a relaxed Rb2PuS3 crystal. The functional is PBE.

Structure (extended XYZ):
```
12
Lattice="7.364 0.000 0.000 0.649 7.639 0.000 0.675 2.711 7.293" Properties=species:S:1:pos:R:3 pbc="T T T"
Rb 1.918 4.303 1.361
Rb 3.068 7.601 3.697
Rb 5.620 2.749 3.596
Rb 6.769 6.047 5.932
Pu 2.518 3.102 6.692
Pu 6.169 7.248 0.601
S 1.208 9.021 6.138
S 2.539 4.420 4.561
S 3.793 1.580 0.769
S 4.894 8.770 6.524
S 6.149 5.930 2.732
S 7.480 1.329 1.155
```

Summary:
crystal system = triclinic
VASP energy = -72.79 eV for the cell shown
distance to the lowest polymorph of the same formula = 0 meV per atom



This record from OQMD via LeMat-Bulk describes a relaxed Rb2PuS3 crystal. The functional is PBE.

Structure (extended XYZ):
```
12
Lattice="7.880 -3.463 0.000 7.880 3.463 0.000 -6.913 0.000 7.855" Properties=species:S:1:pos:R:3 pbc="T T T"
Rb -1.034 0.000 2.193
Rb -1.411 0.000 7.590
Rb 10.258 0.000 0.265
Rb 9.882 0.000 5.661
Pu 2.601 0.000 3.328
Pu 6.246 0.000 4.527
S 2.327 0.000 0.805
S 4.424 1.733 3.927
S 0.995 0.000 5.296
S 7.853 0.000 2.559
S 4.424 -1.733 3.927
S 6.521 0.000 7.049
```

Summary:
crystal system = monoclinic
VASP energy = -71.03 eV for the cell shown
distance to the lowest polymorph of the same formula = 147 meV per atom



This record from OQMD via LeMat-Bulk describes a relaxed RbPuSb crystal. The functional is PBE.

Structure (extended XYZ):
```
12
Lattice="7.750 0.000 0.000 0.000 7.750 0.000 0.000 0.000 7.750" Properties=species:S:1:pos:R:3 pbc="T T T"
Rb 0.000 0.000 0.000
Rb 0.000 3.875 3.875
Rb 3.875 0.000 3.875
Rb 3.875 3.875 0.000
Pu 1.938 1.938 5.813
Pu 1.938 5.813 1.938
Pu 5.813 1.938 1.938
Pu 5.813 5.813 5.813
Sb 0.000 0.000 3.875
Sb 0.000 3.875 0.000
Sb 3.875 0.000 0.000
Sb 3.875 3.875 3.875
```

Summary:
crystal system = cubic
VASP energy = -76.25 eV for the cell shown



This record from OQMD via LeMat-Bulk describes a relaxed Rb2PuSe3 crystal. The functional is PBE.

Structure (extended XYZ):
```
12
Lattice="7.962 -3.643 0.000 7.962 3.643 0.000 -6.794 0.000 8.411" Properties=species:S:1:pos:R:3 pbc="T T T"
Rb -1.267 0.000 2.988
Rb 3.859 0.000 1.616
Rb 5.270 0.000 6.794
Rb 10.396 0.000 5.423
Pu 0.350 0.000 6.632
Pu 8.779 0.000 1.778
Se -2.322 0.000 6.538
Se 7.962 1.898 0.000
Se 2.109 0.000 4.616
Se 7.021 0.000 3.795
Se 7.962 -1.898 0.000
Se 11.451 0.000 1.873
```

Summary:
crystal system = monoclinic
VASP energy = -66.24 eV for the cell shown



This record from OQMD via LeMat-Bulk describes a relaxed Rb2PuSe3 crystal. The functional is PBE.

Structure (extended XYZ):
```
12
Lattice="3.847 -6.657 0.000 3.847 6.657 0.000 -2.630 0.000 7.944" Properties=species:S:1:pos:R:3 pbc="T T T"
Rb 0.000 0.000 0.000
Rb 2.532 4.616 3.972
Rb 2.532 0.000 3.972
Rb 2.532 -4.616 3.972
Pu 3.847 2.232 0.000
Pu 3.847 -2.232 0.000
Se 1.481 2.554 1.585
Se 0.309 0.000 6.385
Se 1.481 -2.554 1.585
Se 3.584 2.554 6.359
Se 4.756 0.000 1.559
Se 3.584 -2.554 6.359
```

Summary:
crystal system = monoclinic
VASP energy = -68.85 eV for the cell shown



This record from OQMD via LeMat-Bulk describes a relaxed Rb2PuTe2Se crystal. The functional is PBE.

Structure (extended XYZ):
```
12
Lattice="7.507 0.000 0.000 2.983 8.298 0.000 2.275 1.065 8.756" Properties=species:S:1:pos:R:3 pbc="T T T"
Rb 1.569 1.779 1.228
Rb 4.935 4.818 2.740
Rb 7.831 4.544 6.017
Rb 11.196 7.583 7.528
Pu 4.525 1.312 6.121
Pu 8.241 8.050 2.636
Te 4.025 4.174 6.333
Te 7.413 7.696 8.327
Te 5.353 1.666 0.430
Te 8.740 5.188 2.424
Se 6.015 8.395 4.179
Se 6.750 0.968 4.577
```

Summary:
crystal system = triclinic
VASP energy = -62.89 eV for the cell shown



This record from OQMD via LeMat-Bulk describes a relaxed RbPuSi crystal. The functional is PBE.

Structure (extended XYZ):
```
12
Lattice="7.457 0.000 0.000 0.000 7.457 0.000 0.000 0.000 7.457" Properties=species:S:1:pos:R:3 pbc="T T T"
Rb 0.000 0.000 0.000
Rb 0.000 3.728 3.728
Rb 3.728 0.000 3.728
Rb 3.728 3.728 0.000
Pu 0.000 0.000 3.728
Pu 0.000 3.728 0.000
Pu 3.728 0.000 0.000
Pu 3.728 3.728 3.728
Si 1.864 1.864 5.593
Si 1.864 5.593 1.864
Si 5.593 1.864 1.864
Si 5.593 5.593 5.593
```

Summary:
crystal system = cubic
VASP energy = -75.58 eV for the cell shown



This record from OQMD via LeMat-Bulk describes a relaxed RbTbPu crystal. The functional is PBE.

Structure (extended XYZ):
```
12
Lattice="8.463 0.000 0.000 0.000 8.463 0.000 0.000 0.000 8.463" Properties=species:S:1:pos:R:3 pbc="T T T"
Rb 0.000 0.000 0.000
Rb 0.000 4.232 4.232
Rb 4.232 0.000 4.232
Rb 4.232 4.232 0.000
Tb 2.116 2.116 2.116
Tb 2.116 6.347 6.347
Tb 6.347 2.116 6.347
Tb 6.347 6.347 2.116
Pu 0.000 0.000 4.232
Pu 0.000 4.232 0.000
Pu 4.232 0.000 0.000
Pu 4.232 4.232 4.232
```

Summary:
crystal system = cubic
VASP energy = -63.54 eV for the cell shown
distance to the lowest polymorph of the same formula = 0 meV per atom



This record from OQMD via LeMat-Bulk describes a relaxed RbPuTl crystal. The functional is PBE.

Structure (extended XYZ):
```
12
Lattice="8.028 0.000 0.000 0.000 8.028 0.000 0.000 0.000 8.028" Properties=species:S:1:pos:R:3 pbc="T T T"
Rb 0.000 0.000 0.000
Rb 0.000 4.014 4.014
Rb 4.014 0.000 4.014
Rb 4.014 4.014 0.000
Pu 0.000 0.000 4.014
Pu 0.000 4.014 0.000
Pu 4.014 0.000 0.000
Pu 4.014 4.014 4.014
Tl 2.007 2.007 6.021
Tl 2.007 6.021 2.007
Tl 6.021 2.007 2.007
Tl 6.021 6.021 6.021
```

Summary:
crystal system = cubic
VASP energy = -63.16 eV for the cell shown
distance to the lowest polymorph of the same formula = 0 meV per atom



This record from OQMD via LeMat-Bulk describes a relaxed RbPuW crystal. The functional is PBE.

Structure (extended XYZ):
```
12
Lattice="7.222 0.000 0.000 0.000 7.222 0.000 0.000 0.000 7.222" Properties=species:S:1:pos:R:3 pbc="T T T"
Rb 0.000 0.000 0.000
Rb 0.000 3.611 3.611
Rb 3.611 0.000 3.611
Rb 3.611 3.611 0.000
Pu 0.000 0.000 3.611
Pu 0.000 3.611 0.000
Pu 3.611 0.000 0.000
Pu 3.611 3.611 3.611
W 1.806 1.806 1.806
W 1.806 5.417 5.417
W 5.417 1.806 5.417
W 5.417 5.417 1.806
```

Summary:
crystal system = cubic
VASP energy = -77.94 eV for the cell shown



This record from OQMD via LeMat-Bulk describes a relaxed RbYPu crystal. The functional is PBE.

Structure (extended XYZ):
```
12
Lattice="8.522 0.000 0.000 0.000 8.522 0.000 0.000 0.000 8.522" Properties=species:S:1:pos:R:3 pbc="T T T"
Rb 0.000 0.000 0.000
Rb 0.000 4.261 4.261
Rb 4.261 0.000 4.261
Rb 4.261 4.261 0.000
Y 2.131 2.131 6.392
Y 2.131 6.392 2.131
Y 6.392 2.131 2.131
Y 6.392 6.392 6.392
Pu 0.000 0.000 4.261
Pu 0.000 4.261 0.000
Pu 4.261 0.000 0.000
Pu 4.261 4.261 4.261
```

Summary:
crystal system = cubic
VASP energy = -70.97 eV for the cell shown
distance to the lowest polymorph of the same formula = 0 meV per atom



This record from OQMD via LeMat-Bulk describes a relaxed Pu2Re crystal. The functional is PBE.

Structure (extended XYZ):
```
6
Lattice="0.000 5.869 5.869 5.869 0.000 5.869 5.869 5.869 0.000" Properties=species:S:1:pos:R:3 pbc="T T T"
Pu 0.000 0.000 0.000
Pu 2.935 2.935 0.000
Pu 2.935 0.000 2.935
Pu 0.000 2.935 2.935
Re 1.467 1.467 1.467
Re 10.272 10.272 10.272
```

Summary:
crystal system = cubic
VASP energy = -72.18 eV for the cell shown
formation enthalpy at 0 K = 442.6 kJ/mol of formula units



This record from OQMD via LeMat-Bulk describes a relaxed PuReSb crystal. The functional is PBE.

Structure (extended XYZ):
```
12
Lattice="6.581 0.000 0.000 0.000 6.581 0.000 0.000 0.000 6.581" Properties=species:S:1:pos:R:3 pbc="T T T"
Pu 0.000 0.000 0.000
Pu 0.000 3.291 3.291
Pu 3.291 0.000 3.291
Pu 3.291 3.291 0.000
Re 1.645 1.645 4.936
Re 1.645 4.936 1.645
Re 4.936 1.645 1.645
Re 4.936 4.936 4.936
Sb 1.645 1.645 1.645
Sb 1.645 4.936 4.936
Sb 4.936 1.645 4.936
Sb 4.936 4.936 1.645
```

Summary:
crystal system = cubic
VASP energy = -111.65 eV for the cell shown
distance to the lowest polymorph of the same formula = 203 meV per atom



This record from OQMD via LeMat-Bulk describes a relaxed PuReSb crystal. The functional is PBE.

Structure (extended XYZ):
```
12
Lattice="6.522 0.000 0.000 0.000 6.522 0.000 0.000 0.000 6.522" Properties=species:S:1:pos:R:3 pbc="T T T"
Pu 0.000 0.000 0.000
Pu 0.000 3.261 3.261
Pu 3.261 0.000 3.261
Pu 3.261 3.261 0.000
Re 0.000 0.000 3.261
Re 0.000 3.261 0.000
Re 3.261 0.000 0.000
Re 3.261 3.261 3.261
Sb 1.631 1.631 1.631
Sb 1.631 4.892 4.892
Sb 4.892 1.631 4.892
Sb 4.892 4.892 1.631
```

Summary:
crystal system = cubic
VASP energy = -114.09 eV for the cell shown
distance to the lowest polymorph of the same formula = 0 meV per atom



This record from OQMD via LeMat-Bulk describes a relaxed PuReTc crystal. The functional is PBE.

Structure (extended XYZ):
```
12
Lattice="6.147 0.000 0.000 0.000 6.147 0.000 0.000 0.000 6.147" Properties=species:S:1:pos:R:3 pbc="T T T"
Pu 0.000 0.000 0.000
Pu 0.000 3.073 3.073
Pu 3.073 0.000 3.073
Pu 3.073 3.073 0.000
Re 1.537 1.537 4.610
Re 1.537 4.610 1.537
Re 4.610 1.537 1.537
Re 4.610 4.610 4.610
Tc 0.000 0.000 3.073
Tc 0.000 3.073 0.000
Tc 3.073 0.000 0.000
Tc 3.073 3.073 3.073
```

Summary:
crystal system = cubic
VASP energy = -141.26 eV for the cell shown
formation enthalpy at 0 K = 153.9 kJ/mol of formula units
distance to the lowest polymorph of the same formula = 0 meV per atom